w) First-principles (PBE-GGA) data for an optimized crystal structure of GaPt3W, as listed in Alexandria.

V ... 19.088 A^3/atom

abc: 4.5700 4.5700 4.5700
angles: 90.00 90.00 90.00
Closest atoms and distances in Å follow each position.
Space group Pm-3m (No. 221)
Inequivalent atoms, fractional coordinates:
Ga  0.0000  0.0000  0.0000 x1  6 Pt 2.28
Pt  0.0000  0.0000  0.5000 x3  2 Ga 2.28
W  0.5000  0.5000  0.5000 x1  12 Pt 3.23



x) First-principles (PBE-GGA) data for an optimized crystal structure of GaPt3W, as listed in Alexandria.

V ... 23.421 A^3/atom

abc: 4.8924 4.8924 4.8924
angles: 90.00 90.00 90.00
Closest atoms and distances in Å follow each position.
Space group Pm-3m (No. 221)
Inequivalent atoms, fractional coordinates:
Ga  0.0000  0.0000  0.0000 x1  12 Pt 3.46
Pt  0.0000  0.5000  0.5000 x3  2 W 2.45
W  0.5000  0.5000  0.5000 x1  6 Pt 2.45



Tell me which of them is the least stable. Sure, it is w).



w) First-principles (PBE-GGA) data for an optimized crystal structure of Y2Ga2Pt, as listed in Alexandria.

V ... 21.672 A^3/atom

abc: 10.6656 4.3249 10.5348
angles: 90.00 116.88 90.00
Closest atoms and distances in Å follow each position.
Space group C2/m (No. 12)
Inequivalent atoms, fractional coordinates:
Y  0.0068  0.0000  0.3280 x4  7 Ga 3.05-3.34, 4 Pt 3.05-3.40
Y  0.1882  0.0000  0.1175 x4  2 Pt 3.06, 6 Ga 3.08-3.12
Ga  0.0256  0.5000  0.8889 x4  1 Ga 2.63, 1 Pt 2.65
Ga  0.1451  0.5000  0.5520 x4  3 Pt 2.55-2.76, 1 Ga 2.78
Pt  0.2247  0.5000  0.3366 x4  4 Ga 2.55-2.76



x) First-principles (PBE-GGA) data for an optimized crystal structure of Y2Ga2Pt, as listed in Alexandria.

V ... 25.031 A^3/atom

abc: 7.4443 7.4443 4.5168
angles: 90.00 90.00 90.00
Closest atoms and distances in Å follow each position.
Space group P4/mbm (No. 127)
Inequivalent atoms, fractional coordinates:
Y  0.1675  0.3325  0.0000 x4  2 Pt 2.77, 2 Ga 3.08
Ga  0.1338  0.6338  0.5000 x4  1 Ga 2.82, 2 Y 3.08
Pt  0.0000  0.0000  0.0000 x2  4 Y 2.77



Tell me which of them is the least stable. Sure, it is x).



w) First-principles (PBE-GGA) data for an optimized crystal structure of Y2Ga2Pt, as listed in Alexandria.

V ... 22.737 A^3/atom

abc: 3.6318 3.6318 17.2383
angles: 90.00 90.00 90.00
Closest atoms and distances in Å follow each position.
Space group I4/mmm (No. 139)
Inequivalent atoms, fractional coordinates:
Y  0.0000  0.0000  0.0967 x4  4 Pt 3.06, 4 Ga 3.21, 1 Y 3.33
Ga  0.0000  0.5000  0.2500 x4  4 Ga 2.57
Pt  0.0000  0.0000  0.5000 x2  8 Y 3.06



x) First-principles (PBE-GGA) data for an optimized crystal structure of Y2Ga2Pt, as listed in Alexandria.

V ... 21.801 A^3/atom

abc: 7.0315 7.0315 4.4093
angles: 90.00 90.00 90.00
Closest atoms and distances in Å follow each position.
Space group P4/mbm (No. 127)
Inequivalent atoms, fractional coordinates:
Y  0.1727  0.3273  0.0000 x4  6 Ga 2.94-3.09
Ga  0.1323  0.6323  0.5000 x4  1 Ga 2.63, 2 Pt 2.75, 2 Y 2.94
Pt  0.0000  0.0000  0.5000 x2  4 Ga 2.75



Tell me which of them is the least stable. Sure, it is w).



w) First-principles (PBE-GGA) data for an optimized crystal structure of YGa4Pt6, as listed in Alexandria.

V ... 16.784 A^3/atom

abc: 7.4043 7.4043 3.8886
angles: 90.00 90.00 120.00
Closest atoms and distances in Å follow each position.
Space group P-6m2 (No. 187)
Inequivalent atoms, fractional coordinates:
Y  0.0000  0.0000  0.0000 x1  6 Pt 3.16, 6 Ga 3.19
Ga  0.3333  0.6667  0.0000 x1  9 Pt 2.56-2.64
Ga  0.3942  0.1971  0.5000 x3  6 Pt 2.51-2.60
Pt  0.1938  0.3876  0.5000 x3  4 Ga 2.51-2.64
Pt  0.5332  0.0663  0.0000 x3  5 Ga 2.56-2.60



x) First-principles (PBE-GGA) data for an optimized crystal structure of YGa4Pt6, as listed in Alexandria.

V ... 18.928 A^3/atom

abc: 6.6753 6.6753 9.3450
angles: 90.00 90.00 90.00
Closest atoms and distances in Å follow each position.
Space group I-42m (No. 121)
Inequivalent atoms, fractional coordinates:
Y  0.0000  0.0000  0.0000 x2  4 Ga 3.21, 8 Pt 3.34-3.35
Ga  0.2056  0.2056  0.3291 x8  4 Pt 2.40-2.66
Pt  0.0000  0.5000  0.0000 x4  4 Pt 2.70, 4 Ga 2.88
Pt  0.1621  0.1621  0.6101 x8  4 Ga 2.40-2.66



Tell me which of them is the least stable. Sure, it is x).



w) First-principles (PBE-GGA) data for an optimized crystal structure of Y2Ga5Pt3, as listed in Alexandria.

V ... 18.676 A^3/atom

abc: 10.2932 12.6354 5.7440
angles: 90.00 90.00 90.00
Closest atoms and distances in Å follow each position.
Space group Ibam (No. 72)
Inequivalent atoms, fractional coordinates:
Y  0.2245  0.1403  0.0000 x8  10 Ga 3.13-3.37, 4 Pt 3.14-3.36
Ga  0.0000  0.0000  0.2500 x4  4 Pt 2.55
Ga  0.0000  0.2892  0.2500 x8  3 Pt 2.55-2.66, 2 Ga 2.66
Ga  0.1670  0.4026  0.0000 x8  3 Pt 2.45-2.56, 2 Ga 2.66
Pt  0.0000  0.5000  0.2500 x4  6 Ga 2.56-2.66
Pt  0.1018  0.1449  0.5000 x8  5 Ga 2.45-2.55



x) First-principles (PBE-GGA) data for an optimized crystal structure of Y2Ga5Pt3, as listed in Alexandria.

V ... 18.383 A^3/atom

abc: 4.3534 24.9148 6.7794
angles: 90.00 90.00 90.00
Closest atoms and distances in Å follow each position.
Space group Cmc2_1 (No. 36)
Inequivalent atoms, fractional coordinates:
Y  0.0000  0.0164  0.0000 x4  5 Pt 2.88-3.12, 6 Ga 3.00-3.20
Y  0.0000  0.3252  0.0198 x4  9 Ga 3.04-3.26, 4 Pt 3.12-3.30
Ga  0.0000  0.1036  0.3393 x4  3 Pt 2.56-2.67, 1 Ga 2.69
Ga  0.0000  0.2061  0.8235 x4  4 Pt 2.57-2.63, 1 Ga 2.77
Ga  0.0000  0.2077  0.2314 x4  3 Pt 2.61-2.62, 2 Ga 2.69-2.77
Ga  0.0000  0.3773  0.4916 x4  4 Pt 2.57-2.83, 1 Ga 2.77
Ga  0.0000  0.4489  0.1781 x4  4 Pt 2.60-2.67, 1 Ga 2.77
Pt  0.0000  0.1060  0.7326 x4  6 Ga 2.57-2.83, 1 Y 2.88
Pt  0.0000  0.2745  0.5296 x4  7 Ga 2.57-2.63
Pt  0.0000  0.4484  0.7838 x4  5 Ga 2.56-2.67



Tell me which of them is the least stable. Sure, it is w).



w) First-principles (PBE-GGA) data for an optimized crystal structure of YGa3Pt3, as listed in Alexandria.

V ... 22.713 A^3/atom

abc: 6.8255 6.8255 6.8255
angles: 90.00 90.00 90.00
Closest atoms and distances in Å follow each position.
Space group Pm-3n (No. 223)
Inequivalent atoms, fractional coordinates:
Y  0.0000  0.0000  0.0000 x2  12 Pt 3.82, 12 Ga 3.82
Ga  0.0000  0.2500  0.5000 x6  4 Pt 2.41
Pt  0.0000  0.5000  0.2500 x6  4 Ga 2.41



x) First-principles (PBE-GGA) data for an optimized crystal structure of YGa3Pt3, as listed in Alexandria.

V ... 18.005 A^3/atom

abc: 6.8736 6.8736 18.4821
angles: 90.00 90.00 120.00
Closest atoms and distances in Å follow each position.
Space group R-3 (No. 148, hexagonal axes)
Inequivalent atoms, fractional coordinates:
Y  0.0000  0.0000  0.1605 x6  6 Pt 2.89-3.06, 6 Ga 3.08-3.11
Ga  0.0258  0.4167  0.3773 x18  4 Pt 2.56-2.63, 2 Ga 2.76
Pt  0.0091  0.2463  0.5719 x18  4 Ga 2.56-2.63



Tell me which of them is the least stable. Sure, it is w).



w) First-principles (PBE-GGA) data for an optimized crystal structure of YGaPt4, as listed in Alexandria.

V ... 18.249 A^3/atom

abc: 7.5942 7.5942 7.5942
angles: 90.00 90.00 90.00
Closest atoms and distances in Å follow each position.
Space group F-43m (No. 216)
Inequivalent atoms, fractional coordinates:
Y  0.0000  0.0000  0.0000 x4  12 Pt 3.15, 4 Ga 3.29
Ga  0.2500  0.2500  0.2500 x4  12 Pt 3.15, 4 Y 3.29
Pt  0.1245  0.1245  0.6245 x16  6 Pt 2.67-2.70



x) First-principles (PBE-GGA) data for an optimized crystal structure of YGaPt4, as listed in Alexandria.

V ... 17.611 A^3/atom

abc: 3.9037 15.9322 6.7958
angles: 90.00 90.00 90.00
Closest atoms and distances in Å follow each position.
Space group Cmcm (No. 63)
Inequivalent atoms, fractional coordinates:
Y  0.0000  0.1011  0.2500 x4  9 Pt 2.82-3.05
Ga  0.0000  0.2369  0.7500 x4  7 Pt 2.45-2.59
Pt  0.0000  0.0760  0.7500 x4  1 Ga 2.56, 1 Y 2.82, 4 Pt 2.86
Pt  0.0000  0.3250  0.0446 x8  3 Ga 2.45-2.59
Pt  0.0000  0.5000  0.0000 x4  6 Pt 2.80-2.86, 4 Y 3.05



Tell me which of them is the least stable. Sure, it is w).



w) First-principles (PBE-GGA) data for an optimized crystal structure of Zn2GaPt8, as listed in Alexandria.

V ... 15.854 A^3/atom

abc: 16.2675 4.0426 5.5370
angles: 90.00 106.69 90.00
Closest atoms and distances in Å follow each position.
Space group C2/m (No. 12)
Inequivalent atoms, fractional coordinates:
Zn  0.1866  0.0000  0.2456 x4  9 Pt 2.56-2.71
Ga  0.0000  0.5000  0.5000 x2  8 Pt 2.45-2.55
Pt  0.0233  0.0000  0.2473 x4  2 Ga 2.55, 1 Pt 2.62, 1 Zn 2.66
Pt  0.1080  0.5000  0.9383 x4  1 Ga 2.55, 2 Zn 2.71, 3 Pt 2.83-2.84
Pt  0.1476  0.5000  0.4730 x4  1 Ga 2.45, 3 Zn 2.56-2.70, 2 Pt 2.74
Pt  0.2139  0.0000  0.8066 x4  3 Zn 2.59-2.66, 5 Pt 2.74-2.88



x) First-principles (PBE-GGA) data for an optimized crystal structure of Zn2GaPt8, as listed in Alexandria.

V ... 15.297 A^3/atom

abc: 13.9710 4.0431 6.1849
angles: 90.00 105.58 90.00
Closest atoms and distances in Å follow each position.
Space group C2/m (No. 12)
Inequivalent atoms, fractional coordinates:
Zn  0.2244  0.0000  0.1449 x4  10 Pt 2.66-2.84, 2 Zn 2.92
Ga  0.0000  0.5000  0.5000 x2  12 Pt 2.65-2.89
Pt  0.0452  0.0000  0.2287 x4  1 Zn 2.69, 9 Pt 2.77-2.88, 2 Ga 2.81
Pt  0.0948  0.5000  0.9533 x4  3 Zn 2.75-2.76, 8 Pt 2.75-2.86, 1 Ga 2.76
Pt  0.1444  0.0000  0.7008 x4  3 Zn 2.67-2.72, 7 Pt 2.75-2.88, 2 Ga 2.89
Pt  0.1774  0.5000  0.4220 x4  1 Ga 2.65, 3 Zn 2.66-2.84, 8 Pt 2.77-2.84



Tell me which of them is the least stable. Sure, it is w).



w) First-principles (PBE-GGA) data for an optimized crystal structure of Zn3GaPt2, as listed in Alexandria.

V ... 17.007 A^3/atom

abc: 12.1508 8.0046 4.1965
angles: 90.00 90.00 90.00
Closest atoms and distances in Å follow each position.
Space group Cmcm (No. 63)
Inequivalent atoms, fractional coordinates:
Zn  0.0000  0.0880  0.2500 x4  2 Zn 2.53, 2 Ga 2.69, 2 Pt 2.72
Zn  0.2472  0.1318  0.2500 x8  4 Pt 2.52-2.66
Ga  0.0000  0.2986  0.7500 x4  4 Pt 2.62, 2 Zn 2.69
Pt  0.1178  0.3774  0.2500 x8  5 Zn 2.52-2.72, 2 Ga 2.62



x) First-principles (PBE-GGA) data for an optimized crystal structure of Zn3GaPt2, as listed in Alexandria.

V ... 18.370 A^3/atom

abc: 5.6198 13.4900 5.8153
angles: 90.00 90.00 90.00
Closest atoms and distances in Å follow each position.
Space group Ibam (No. 72)
Inequivalent atoms, fractional coordinates:
Zn  0.0000  0.0000  0.2500 x4  4 Pt 2.58
Zn  0.0000  0.2673  0.2500 x8  4 Pt 2.58-2.60, 2 Zn 2.85
Ga  0.0000  0.5000  0.0000 x4  2 Pt 2.44
Pt  0.2057  0.1329  0.0000 x8  1 Ga 2.44, 6 Zn 2.58-2.60



Tell me which of them is the least stable. Sure, it is x).



w) First-principles (PBE-GGA) data for an optimized crystal structure of ZnGaPt4, as listed in Alexandria.

V ... 16.859 A^3/atom

abc: 4.1551 4.1551 5.8592
angles: 90.00 90.00 90.00
Closest atoms and distances in Å follow each position.
Space group P4/mmm (No. 123)
Inequivalent atoms, fractional coordinates:
Zn  0.0000  0.0000  0.0000 x1  8 Pt 2.55
Ga  0.5000  0.5000  0.5000 x1  8 Pt 2.54
Pt  0.0000  0.5000  0.2513 x4  2 Ga 2.54, 2 Zn 2.55



x) First-principles (PBE-GGA) data for an optimized crystal structure of ZnGaPt4, as listed in Alexandria.

V ... 15.212 A^3/atom

abc: 7.3643 2.8299 17.5188
angles: 90.00 90.00 90.00
Closest atoms and distances in Å follow each position.
Space group Pnma (No. 62)
Inequivalent atoms, fractional coordinates:
Zn  0.2404  0.2500  0.0477 x4  8 Pt 2.62-2.70, 2 Zn 2.83
Ga  0.2243  0.2500  0.8101 x4  9 Pt 2.65-2.73, 2 Ga 2.83
Pt  0.0341  0.7500  0.7071 x4  4 Ga 2.69-2.70, 8 Pt 2.83-2.91
Pt  0.0395  0.7500  0.4303 x4  3 Zn 2.62-2.65, 1 Ga 2.73, 6 Pt 2.83-2.88
Pt  0.1105  0.7500  0.9287 x4  3 Zn 2.62-2.70, 2 Ga 2.65, 4 Pt 2.83-2.88
Pt  0.1417  0.7500  0.1676 x4  2 Zn 2.63, 2 Ga 2.69-2.72, 8 Pt 2.83-2.91



Tell me which of them is the least stable. Sure, it is w).